(1)
This record from the Alexandria database describes K12Sb3I5 after structural relaxation. The functional is PBE.

Cell and atoms, written as POSCAR:
```
K12Sb3I5
1.0
17.766 0.000 0.000
-5.922 16.750 0.000
-5.922 -8.375 14.505
Sb I K
12 20 48
Direct
0.750 0.375 0.125
0.875 0.750 0.125
0.375 0.750 0.625
0.250 0.125 0.375
0.875 0.125 0.250
0.375 0.625 0.250
0.625 0.375 0.750
0.125 0.875 0.750
0.750 0.875 0.625
0.625 0.250 0.375
0.125 0.250 0.875
0.250 0.625 0.875
0.125 0.375 0.250
0.000 0.500 0.000
0.000 0.000 0.000
0.375 0.250 0.125
0.500 0.000 0.500
0.500 0.500 0.000
0.125 0.750 0.375
0.750 0.125 0.875
0.750 0.625 0.375
0.375 0.125 0.750
0.625 0.875 0.250
0.500 0.500 0.500
0.500 0.000 0.000
0.000 0.000 0.500
0.250 0.375 0.625
0.250 0.875 0.125
0.000 0.500 0.500
0.875 0.250 0.625
0.625 0.750 0.875
0.875 0.625 0.750
0.729 0.141 0.060
0.331 0.560 0.419
0.940 0.359 0.271
0.560 0.229 0.141
0.588 0.729 0.669
0.940 0.581 0.169
0.331 0.771 0.412
0.081 0.912 0.141
0.581 0.940 0.669
0.729 0.588 0.169
0.771 0.440 0.359
0.831 0.919 0.060
0.141 0.729 0.560
0.359 0.419 0.088
0.088 0.919 0.359
0.412 0.141 0.581
0.088 0.169 0.229
0.440 0.669 0.081
0.831 0.912 0.271
0.141 0.412 0.081
0.359 0.940 0.771
0.581 0.641 0.412
0.919 0.831 0.560
0.771 0.331 0.912
0.419 0.359 0.588
0.081 0.169 0.440
0.229 0.669 0.088
0.169 0.088 0.729
0.641 0.060 0.229
0.859 0.588 0.919
0.560 0.331 0.919
0.588 0.859 0.419
0.912 0.831 0.771
0.912 0.081 0.641
0.859 0.271 0.440
0.169 0.081 0.940
0.641 0.581 0.912
0.419 0.060 0.331
0.271 0.412 0.831
0.229 0.560 0.641
0.919 0.088 0.859
0.669 0.229 0.588
0.440 0.771 0.859
0.060 0.419 0.831
0.412 0.271 0.331
0.060 0.641 0.729
0.669 0.440 0.581
0.271 0.859 0.940
```

---

(2)
This record from the Alexandria database describes KSb2I8 after structural relaxation. The functional is PBE.

Cell and atoms, written as POSCAR:
```
KSb2I8
1.0
-2.450 6.904 -2.187
-9.749 -1.216 0.881
-2.639 3.789 8.717
K Sb I
1 2 8
Direct
0.000 0.000 0.000
0.695 0.782 0.782
0.305 0.218 0.218
0.231 0.309 0.930
0.769 0.070 0.691
0.317 0.792 0.792
0.683 0.208 0.208
0.231 0.930 0.309
0.769 0.691 0.070
0.896 0.601 0.601
0.104 0.399 0.399
```

---

(3)
This record from the Alexandria database describes KSbI6 after structural relaxation. The functional is PBE.

Cell and atoms, written as POSCAR:
```
KSbI6
1.0
6.958 -0.194 -0.368
3.298 7.796 -0.499
3.039 2.177 7.170
K Sb I
1 1 6
Direct
0.500 0.500 0.500
0.000 0.000 0.000
0.980 0.322 0.697
0.763 0.886 0.856
0.598 0.193 0.228
0.237 0.114 0.144
0.020 0.678 0.303
0.402 0.807 0.772
```

---

(4)
This record from the Alexandria database describes K8Sb2I after structural relaxation. The functional is PBE.

Cell and atoms, written as POSCAR:
```
K8Sb2I
1.0
-1.236 5.335 -2.701
-7.069 -3.493 -3.664
-0.834 1.585 10.413
K Sb I
8 2 1
Direct
0.654 0.883 0.308
0.346 0.575 0.692
0.185 0.185 0.371
0.000 0.297 0.000
0.815 0.815 0.629
0.654 0.425 0.308
0.346 0.117 0.692
0.000 0.703 0.000
0.184 0.684 0.368
0.816 0.316 0.632
0.500 0.000 0.000
```

---

(5)
This record from the Alexandria database describes KSbI5 after structural relaxation. The functional is PBE.

Cell and atoms, written as POSCAR:
```
KSbI5
1.0
8.544 0.539 0.106
3.222 7.931 0.106
4.356 3.136 11.221
K Sb I
2 2 10
Direct
0.563 0.437 0.250
0.437 0.563 0.750
0.000 0.000 0.000
0.000 0.000 0.500
0.791 0.760 0.117
0.306 0.656 0.493
0.760 0.791 0.617
0.962 0.038 0.250
0.344 0.694 0.007
0.656 0.306 0.993
0.038 0.962 0.750
0.240 0.209 0.383
0.694 0.344 0.507
0.209 0.240 0.883
```

---

(6)
This record from the Alexandria database describes KSbI4 after structural relaxation. The functional is PBE.

Cell and atoms, written as POSCAR:
```
KSbI4
1.0
-3.032 2.416 -2.356
-3.944 -4.170 5.169
2.169 7.225 4.613
K Sb I
1 1 4
Direct
0.500 0.000 0.500
0.000 0.000 0.000
0.875 0.750 0.677
0.125 0.250 0.323
0.379 0.757 0.090
0.621 0.243 0.909
```

---

ΔE_f (raw)? In order: -0.8252 -0.4114 -0.4240 -0.4905 -0.4781 -0.6940 eV per atom.